Entry 1:
The following is a DFT calculation (PBEsol) of an optimized crystal structure of Li2ZrAg.

Cell lengths 2.792, 4.630, 5.693 Å; angles 90.00, 99.00, 90.00 degrees
Fractional positions:
Li (0.000, 0.000, 0.000)
Li (0.348, 0.500, 0.822)
Zr (0.734, 0.500, 0.345)
Ag (0.308, 0.000, 0.541)

Values from the calculation:
E_tot	-4.00	eV per atom
M_tot	0.0	μB per formula unit
formation energy	0.084	eV/atom
polymorph energy (0 for the lowest one)	0.037	eV per atom

---

Entry 2:
The following is a DFT calculation (PBEsol) of an optimized crystal structure of Li2ZrAg.

Cell lengths 3.926, 3.926, 4.771 Å; angles 90.00, 90.00, 90.00 degrees
Fractional positions:
Li (0.000, 0.500, 0.000)
Li (0.500, 0.000, 0.000)
Zr (0.000, 0.000, 0.500)
Ag (0.500, 0.500, 0.500)

Values from the calculation:
E_tot	-3.86	eV per atom
M_tot	0.3	μB per formula unit
formation energy	0.228	eV/atom
polymorph energy (0 for the lowest one)	0.182	eV per atom

---

Entry 3:
The following is a DFT calculation (PBEsol) of an optimized crystal structure of LiZr2Ag.

Cell lengths 3.077, 3.077, 8.222 Å; angles 90.00, 90.00, 90.00 degrees
Fractional positions:
Li (0.000, 0.000, 0.000)
Zr (0.000, 0.000, 0.553)
Zr (0.500, 0.500, 0.291)
Ag (0.500, 0.500, 0.810)

Values from the calculation:
E_tot	-5.90	eV per atom
M_tot	0.0	μB per formula unit
formation energy	-0.032	eV/atom
polymorph energy (0 for the lowest one)	0.000	eV per atom

---

Entry 4:
The following is a DFT calculation (PBEsol) of an optimized crystal structure of LuAgO2.

Cell lengths 6.432, 6.432, 6.432 Å; angles 30.34, 30.34, 30.34 degrees
Fractional positions:
Lu (0.000, 0.000, 0.000)
Ag (0.500, 0.500, 0.500)
O (0.389, 0.389, 0.389)
O (0.611, 0.611, 0.611)

Values from the calculation:
E_tot	-7.05	eV per atom
M_tot	0.0	μB per formula unit
uncorrected formation energy	-2.377	eV/atom

---

Entry 5:
The following is a DFT calculation (PBEsol) of an optimized crystal structure of LuAgPb.

Cell lengths 7.286, 7.286, 4.451 Å; angles 90.00, 90.00, 120.00 degrees
Fractional positions:
Lu (0.000, 0.567, 0.000)
Lu (0.433, 0.433, 0.000)
Lu (0.567, 0.000, 0.000)
Ag (0.000, 0.245, 0.500)
Ag (0.245, 0.000, 0.500)
Ag (0.755, 0.755, 0.500)
Pb (0.000, 0.000, 0.000)
Pb (0.333, 0.667, 0.500)
Pb (0.667, 0.333, 0.500)

Values from the calculation:
E_tot	-4.41	eV per atom
M_tot	0.0	μB per formula unit
formation energy	-0.347	eV/atom

---

Entry 6:
The following is a DFT calculation (PBEsol) of an optimized crystal structure of LuAgS2.

Cell lengths 6.844, 6.844, 6.844 Å; angles 134.62, 134.62, 66.12 degrees
Fractional positions:
Lu (0.375, 0.625, 0.750)
Lu (0.625, 0.375, 0.250)
Ag (0.125, 0.875, 0.250)
Ag (0.875, 0.125, 0.750)
S (0.144, 0.394, 0.750)
S (0.394, 0.144, 0.250)
S (0.606, 0.856, 0.750)
S (0.856, 0.606, 0.250)

Values from the calculation:
E_tot	-5.55	eV per atom
M_tot	0.0	μB per formula unit
uncorrected formation energy	-1.309	eV/atom

---

Entry 7:
The following is a DFT calculation (PBEsol) of an optimized crystal structure of LuAgSe2.

Cell lengths 4.120, 6.592, 13.387 Å; angles 90.00, 90.00, 90.00 degrees
Fractional positions:
Lu (0.206, 0.208, 0.373)
Lu (0.294, 0.792, 0.873)
Lu (0.706, 0.292, 0.627)
Lu (0.794, 0.708, 0.127)
Ag (0.010, 0.711, 0.370)
Ag (0.490, 0.289, 0.870)
Ag (0.510, 0.789, 0.630)
Ag (0.990, 0.211, 0.130)
Se (0.206, 0.084, 0.725)
Se (0.215, 0.493, 0.527)
Se (0.285, 0.507, 0.027)
Se (0.294, 0.916, 0.225)
Se (0.706, 0.416, 0.275)
Se (0.715, 0.007, 0.473)
Se (0.785, 0.993, 0.973)
Se (0.794, 0.584, 0.775)

Values from the calculation:
E_tot	-5.14	eV per atom
M_tot	0.0	μB per formula unit
uncorrected formation energy	-1.172	eV/atom

---

Entry 8:
The following is a DFT calculation (PBEsol) of an optimized crystal structure of LuSiAg.

Cell lengths 6.827, 6.827, 4.085 Å; angles 90.00, 90.00, 120.00 degrees
Fractional positions:
Lu (0.000, 0.421, 0.000)
Lu (0.421, 0.000, 0.000)
Lu (0.579, 0.579, 0.000)
Si (0.000, 0.000, 0.000)
Si (0.333, 0.667, 0.500)
Si (0.667, 0.333, 0.500)
Ag (0.000, 0.749, 0.500)
Ag (0.251, 0.251, 0.500)
Ag (0.749, 0.000, 0.500)

Values from the calculation:
E_tot	-5.29	eV per atom
M_tot	0.0	μB per formula unit
uncorrected formation energy	-0.645	eV/atom

---

Entry 9:
The following is a DFT calculation (PBEsol) of an optimized crystal structure of LuAg2Sn.

Cell lengths 4.839, 4.839, 4.839 Å; angles 120.76, 120.76, 88.70 degrees
Fractional positions:
Lu (0.000, 0.000, 0.000)
Ag (0.250, 0.750, 0.500)
Ag (0.750, 0.250, 0.500)
Sn (0.500, 0.500, 0.000)

Values from the calculation:
E_tot	-4.29	eV per atom
M_tot	0.0	μB per formula unit
formation energy	-0.356	eV/atom

---

Entry 10:
The following is a DFT calculation (PBEsol) of an optimized crystal structure of LuAgSn.

Cell lengths 4.611, 4.611, 7.145 Å; angles 90.00, 90.00, 120.00 degrees
Fractional positions:
Lu (0.000, 0.000, 0.000)
Lu (0.000, 0.000, 0.500)
Ag (0.333, 0.667, 0.319)
Ag (0.667, 0.333, 0.819)
Sn (0.333, 0.667, 0.723)
Sn (0.667, 0.333, 0.223)

Values from the calculation:
E_tot	-4.73	eV per atom
M_tot	0.0	μB per formula unit
formation energy	-0.579	eV/atom

---

Entry 11:
The following is a DFT calculation (PBEsol) of an optimized crystal structure of LuAgSn.

Cell lengths 7.169, 7.169, 4.389 Å; angles 90.00, 90.00, 120.00 degrees
Fractional positions:
Lu (0.000, 0.433, 0.000)
Lu (0.433, 0.000, 0.000)
Lu (0.567, 0.567, 0.000)
Ag (0.000, 0.754, 0.500)
Ag (0.246, 0.246, 0.500)
Ag (0.754, 0.000, 0.500)
Sn (0.000, 0.000, 0.000)
Sn (0.333, 0.667, 0.500)
Sn (0.667, 0.333, 0.500)

Values from the calculation:
E_tot	-4.71	eV per atom
M_tot	0.0	μB per formula unit
formation energy	-0.564	eV/atom

---

Entry 12:
The following is a DFT calculation (PBEsol) of an optimized crystal structure of LuAgTe2.

Cell lengths 4.358, 4.358, 7.171 Å; angles 90.00, 90.00, 120.00 degrees
Fractional positions:
Lu (0.000, 0.000, 0.000)
Ag (0.667, 0.333, 0.598)
Te (0.333, 0.667, 0.757)
Te (0.667, 0.333, 0.221)

Values from the calculation:
E_tot	-4.62	eV per atom
M_tot	0.0	μB per formula unit
uncorrected formation energy	-0.806	eV/atom